Density functional theory data (PBE) for a geometry-optimized Cs2TiSiF6 structure.

abc: 5.9638 5.9638 11.1620
angles: 90.00 90.00 90.00
Space group I4/mmm (No. 139)
Unique sites:
Cs: 0.0000 0.5000 0.2500 (multiplicity 4)
Ti: 0.0000 0.0000 0.0000 (multiplicity 2)
Si: 0.0000 0.0000 0.5000 (multiplicity 2)
F: 0.0000 0.0000 0.1726 (multiplicity 4)
F: 0.2438 0.2438 0.0000 (multiplicity 8)

Values from the calculation:
**V**: 19.850 Å³/atom
**Theoretical density**: 3.8 g cm⁻³
**Formation energy from raw total energies**: -2.578 eV/atom
**Magnetic moment**: 2.00 μB per formula unit
**E**: -5.20 eV per atom